DFT (PBE) results for a relaxed KTl2ZnSe4 crystal.

Lattice parameters (Å, degrees): 4.088 14.603 15.542 90.00 90.00 90.00
Space group Cmcm (No. 63)
One atom of each set of equivalent atoms:
K1 0.000 0.119 0.250
Tl1 0.000 0.376 0.061
Zn1 0.000 0.155 0.750
Se1 0.000 0.000 0.000
Se2 0.000 0.249 0.615
Se3 0.000 0.442 0.250

As for the final energy: -100.5 eV per cell. As for the raw formation energy: -0.512 eV per atom. The calculated density is 5.9 g/cm³.

DFT (PBE) results for a relaxed KTlZn2Se crystal.

Lattice parameters (Å, degrees): 5.100 5.100 6.400 90.00 90.00 90.00
Space group P4/mmm (No. 123)
One atom of each set of equivalent atoms:
K1 0.000 0.000 0.000
Tl1 0.000 0.000 0.500
Zn1 0.000 0.500 0.500
Se1 0.500 0.500 0.000

As for the final energy: -8.3 eV per cell. As for the raw formation energy: 0.238 eV per atom. The calculated density is 4.5 g/cm³.

DFT (PBE) results for a relaxed KZrTlSe3 crystal.

Lattice parameters (Å, degrees): 7.936 16.000 6.918 90.00 105.99 90.00
Space group C2/c (No. 15)
One atom of each set of equivalent atoms:
K1 0.000 0.095 0.250
Zr1 0.000 0.451 0.250
Tl1 0.000 0.295 0.750
Se1 0.000 0.294 0.250
Se2 0.219 0.453 0.006

As for the final energy: -115.6 eV per cell. As for the raw formation energy: -1.074 eV per atom. The calculated density is 4.5 g/cm³.

DFT (PBE) results for a relaxed KTm2Se crystal.

Lattice parameters (Å, degrees): 3.7939 3.7939 32.8331 90.00 90.00 120.00
Space group R-3m (No. 166, hexagonal axes)
One atom of each set of equivalent atoms:
K1 0.0000 0.0000 0.0000
Tm1 0.0000 0.0000 0.1137
Se1 0.0000 0.0000 0.5000

As for the final energy: -46.7 eV per cell. As for the raw formation energy: -0.511 eV per atom. The calculated density is 5.5 g/cm³.

DFT (PBE) results for a relaxed KTm4Se6 crystal.

Lattice parameters (Å, degrees): 4.076 13.509 21.480 90.00 90.00 90.00
Space group Cmcm (No. 63)
One atom of each set of equivalent atoms:
K1 0.000 0.156 0.250
Tm1 0.000 0.096 0.633
Tm2 0.000 0.367 0.541
Se1 0.000 0.000 0.000
Se2 0.000 0.160 0.750
Se3 0.000 0.272 0.080
Se4 0.000 0.461 0.653

As for the final energy: -236.4 eV per cell. As for the raw formation energy: -1.747 eV per atom. The calculated density is 6.7 g/cm³.

DFT (PBE) results for a relaxed KTm6Se8 crystal.

Lattice parameters (Å, degrees): 10.8112 10.8112 4.1319 90.00 90.00 120.00
Space group P-3 (No. 147)
One atom of each set of equivalent atoms:
K1 0.0000 0.0000 0.0000
Tm1 0.1379 0.6551 0.7500
Se1 0.0435 0.3545 0.7504
Se2 0.3333 0.6667 0.2498

As for the final energy: -81.3 eV per cell. As for the raw formation energy: -1.700 eV per atom. The calculated density is 6.7 g/cm³.

DFT (PBE) results for a relaxed KTmSe crystal.

Lattice parameters (Å, degrees): 4.450 4.450 9.036 90.00 90.00 90.00
Space group P4/nmm (No. 129, origin choice 2)
One atom of each set of equivalent atoms:
K1 0.250 0.250 0.138
Tm1 0.250 0.750 0.500
Se1 0.250 0.250 0.738

As for the final energy: -23.1 eV per cell. As for the raw formation energy: -0.825 eV per atom. The calculated density is 5.3 g/cm³.

DFT (PBE) results for a relaxed K3TmU3Se8 crystal.

Lattice parameters (Å, degrees): 8.3413 8.3413 23.5313 90.00 90.00 120.00
Space group R-3m (No. 166, hexagonal axes)
One atom of each set of equivalent atoms:
K1 0.0000 0.5000 0.0000
Tm1 0.0000 0.0000 0.5000
U1 0.0000 0.5000 0.5000
Se1 0.0000 0.0000 0.2359
Se2 0.0032 0.5016 0.2337

As for the final energy: -270.0 eV per cell. As for the raw formation energy: -1.367 eV per atom. The calculated density is 5.7 g/cm³.

DFT (PBE) results for a relaxed K2Tm2USe6 crystal.

Lattice parameters (Å, degrees): 7.158 12.390 8.213 90.00 107.03 90.00
Space group C2/m (No. 12)
One atom of each set of equivalent atoms:
K1 0.000 0.167 0.000
Tm1 0.000 0.333 0.500
U1 0.000 0.000 0.500
Se1 0.233 0.167 0.699
Se2 0.234 0.500 0.699

As for the final energy: -121.6 eV per cell. As for the raw formation energy: -1.588 eV per atom. The calculated density is 5.4 g/cm³.

DFT (PBE) results for a relaxed K3TmU2Se6 crystal.

Lattice parameters (Å, degrees): 7.278 12.606 8.101 90.00 107.43 90.00
Space group C2/m (No. 12)
One atom of each set of equivalent atoms:
K1 0.000 0.000 0.000
K2 0.000 0.333 0.000
Tm1 0.000 0.500 0.500
U1 0.000 0.167 0.500
Se1 0.233 0.336 0.707
Se2 0.241 0.000 0.707

As for the final energy: -135.9 eV per cell. As for the raw formation energy: -1.390 eV per atom. The calculated density is 5.8 g/cm³.

DFT (PBE) results for a relaxed K4TmU3Se8 crystal.

Lattice parameters (Å, degrees): 8.4044 8.4044 23.2145 90.00 90.00 120.00
Space group R-3m (No. 166, hexagonal axes)
One atom of each set of equivalent atoms:
K1 0.0000 0.0000 0.0000
K2 0.0000 0.5000 0.0000
Tm1 0.0000 0.0000 0.5000
U1 0.0000 0.5000 0.5000
Se1 0.0000 0.0000 0.2365
Se2 0.0054 0.5027 0.2356

As for the final energy: -276.6 eV per cell. As for the raw formation energy: -1.349 eV per atom. The calculated density is 5.9 g/cm³.

DFT (PBE) results for a relaxed K3Tm2VSe6 crystal.

Lattice parameters (Å, degrees): 7.024 12.172 8.003 90.00 107.09 90.00
Space group C2/m (No. 12)
One atom of each set of equivalent atoms:
K1 0.000 0.000 0.000
K2 0.000 0.329 0.000
Tm1 0.000 0.166 0.500
V1 0.000 0.500 0.500
Se1 0.222 0.343 0.696
Se2 0.248 0.500 0.303

As for the final energy: -118.8 eV per cell. As for the raw formation energy: -1.428 eV per atom. The calculated density is 5.0 g/cm³.